A plane-wave DFT calculation with GGA-PBEsol was carried out for a relaxed structure of La2TlIn.

POSCAR file:
```
La2TlIn
1.0
3.572 0.000 0.000
0.000 3.572 0.000
0.000 0.000 9.091
La Tl In
2 1 1
Direct
0.000 0.000 0.248 La
0.000 0.000 0.752 La
0.500 0.500 0.500 Tl
0.500 0.500 0.000 In
```

Summary:
E ... -18.33 eV/cell
Calculated volume ... 29.0 A^3/atom
Calculated density ... 8.55 Mg/m³
Crystal system ... tetragonal
SG ... P4/mmm
D(E_F) ... 0.832 states/eV/atom
Energy of formation ... -0.505 eV per atom